No. 1
Density functional theory data (PBE) for crystalline AlH6IrOs at its relaxed geometry.

* E_tot: -4.410 eV per atom

Cell: 4.515 4.515 4.515 Å, 60.00 60.00 60.00°
Atoms (fractional coordinates):
Al1 0.500 0.500 0.500
H1 0.025 0.475 0.025
H2 0.475 0.475 0.025
H3 0.475 0.025 0.025
H4 0.475 0.025 0.475
H5 0.025 0.025 0.475
H6 0.025 0.475 0.475
Ir1 0.750 0.750 0.750
Os1 0.000 0.000 0.000

=====

No. 2
Density functional theory data (PBE) for crystalline Y2HgIrC at its relaxed geometry.

* E_tot: -6.828 eV per atom

Cell: 5.075 5.075 3.897 Å, 90.00 90.00 90.00°
Atoms (fractional coordinates):
C1 0.000 0.000 0.000
Hg1 0.500 0.500 0.500
Ir1 0.000 0.000 0.500
Y1 0.500 0.000 0.000
Y2 0.000 0.500 0.000

=====

No. 3
Density functional theory data (PBE) for crystalline BeTcNO at its relaxed geometry.

* E_tot: -7.533 eV per atom
* polymorph energy (0 for the lowest one): 0.418 eV per atom

Cell: 3.484 3.484 6.702 Å, 90.00 90.00 90.07°
Atoms (fractional coordinates):
Be1 0.750 0.750 0.056
Be2 0.250 0.250 0.944
N1 0.750 0.750 0.326
N2 0.250 0.250 0.674
O1 0.750 0.250 0.000
O2 0.250 0.750 0.000
Tc1 0.750 0.250 0.500
Tc2 0.250 0.750 0.500

=====

No. 4
Density functional theory data (PBE) for crystalline InCuTeOsSe2 at its relaxed geometry.

* E_tot: -4.597 eV per atom

Cell: 7.318 7.318 10.057 Å, 90.00 90.00 149.90°
Atoms (fractional coordinates):
Cu1 0.047 0.953 0.250
Cu2 0.953 0.047 0.750
In1 0.724 0.276 0.250
In2 0.276 0.724 0.750
Os1 0.500 0.500 0.000
Os2 0.500 0.500 0.500
Se1 0.118 0.882 0.034
Se2 0.118 0.882 0.466
Se3 0.882 0.118 0.534
Se4 0.882 0.118 0.966
Te1 0.419 0.581 0.250
Te2 0.581 0.419 0.750

=====

No. 5
Density functional theory data (PBE) for crystalline Lu4SiPN2 at its relaxed geometry.

* E_tot: -7.002 eV per atom

Cell: 3.491 3.491 13.000 Å, 90.00 90.00 120.00°
Atoms (fractional coordinates):
Lu1 0.667 0.333 0.139
Lu2 0.000 0.000 0.340
Lu3 0.000 0.000 0.660
Lu4 0.667 0.333 0.861
N1 0.333 0.667 0.242
N2 0.333 0.667 0.758
P1 0.000 0.000 0.000
Si1 0.667 0.333 0.500

=====

No. 6
Density functional theory data (PBE) for crystalline La2Ho2O5 at its relaxed geometry.

* E_tot: -7.074 eV per atom
* polymorph energy (0 for the lowest one): 0.684 eV per atom

Cell: 7.847 4.395 4.395 Å, 90.00 90.00 90.00°
Atoms (fractional coordinates):
Ho1 0.000 0.000 0.000
Ho2 0.500 0.000 0.000
La1 0.224 0.500 0.500
La2 0.776 0.500 0.500
O1 0.293 0.500 0.000
O2 0.707 0.500 0.000
O3 0.293 0.000 0.500
O4 0.707 0.000 0.500
O5 0.500 0.500 0.500

=====

No. 7
Density functional theory data (PBE) for crystalline HoZnAu at its relaxed geometry.

* E_tot: -3.404 eV per atom

Cell: 4.552 4.552 4.552 Å, 60.00 60.00 60.00°
Atoms (fractional coordinates):
Au1 0.250 0.250 0.250
Ho1 0.750 0.750 0.750
Zn1 0.000 0.000 0.000

=====

No. 8
Density functional theory data (PBE) for crystalline ScTlCuAu at its relaxed geometry.

* E_tot: -4.170 eV per atom
* polymorph energy (0 for the lowest one): 0.021 eV per atom

Cell: 4.727 4.727 4.727 Å, 60.00 60.00 60.00°
Atoms (fractional coordinates):
Au1 0.750 0.750 0.750
Cu1 0.000 0.000 0.000
Sc1 0.500 0.500 0.500
Tl1 0.250 0.250 0.250

=====

No. 9
Density functional theory data (PBE) for crystalline SmTlMo at its relaxed geometry.

* E_tot: -4.800 eV per atom
* polymorph energy (0 for the lowest one): 0.341 eV per atom

Cell: 5.020 5.020 5.020 Å, 60.00 60.00 60.00°
Atoms (fractional coordinates):
Mo1 0.250 0.250 0.250
Sm1 0.000 0.000 0.000
Tl1 0.750 0.750 0.750

=====

No. 10
Density functional theory data (PBE) for crystalline GdScAs at its relaxed geometry.

* E_tot: -5.028 eV per atom
* polymorph energy (0 for the lowest one): 1.006 eV per atom

Cell: 4.861 4.861 4.861 Å, 60.00 60.00 60.00°
Last column: magnetic moment on the atom in μB.
Atoms (fractional coordinates):
As1 0.250 0.250 0.250  -0.03
Gd1 0.000 0.000 0.000  0.65
Sc1 0.750 0.750 0.750  0.94

=====

No. 11
Density functional theory data (PBE) for crystalline TaRe5 at its relaxed geometry.

* E_tot: -11.988 eV per atom
* polymorph energy (0 for the lowest one): 0.268 eV per atom

Cell: 5.143 5.143 16.704 Å, 90.00 90.00 120.00°
Atoms (fractional coordinates):
Re1 0.500 0.000 0.000
Re2 0.000 0.500 0.000
Re3 0.500 0.500 0.000
Re4 0.000 0.000 0.093
Re5 0.667 0.333 0.158
Re6 0.159 0.317 0.250
Re7 0.159 0.841 0.250
Re8 0.683 0.841 0.250
Re9 0.667 0.333 0.342
Re10 0.000 0.000 0.407
Re11 0.500 0.000 0.500
Re12 0.000 0.500 0.500
Re13 0.500 0.500 0.500
Re14 0.000 0.000 0.593
Re15 0.333 0.667 0.658
Re16 0.317 0.159 0.750
Re17 0.841 0.159 0.750
Re18 0.841 0.683 0.750
Re19 0.333 0.667 0.842
Re20 0.000 0.000 0.907
Ta1 0.333 0.667 0.125
Ta2 0.333 0.667 0.375
Ta3 0.667 0.333 0.625
Ta4 0.667 0.333 0.875

=====

No. 12
Density functional theory data (PBE) for crystalline YHoHf2Sb2 at its relaxed geometry.

* E_tot: -7.248 eV per atom

Cell: 8.782 8.782 8.782 Å, 151.96 151.96 40.08°
Atoms (fractional coordinates):
Hf1 0.500 0.000 0.500
Hf2 0.000 0.500 0.500
Ho1 0.676 0.676 0.000
Sb1 0.132 0.132 0.000
Sb2 0.868 0.868 0.000
Y1 0.323 0.323 0.000

=====

No. 13
Density functional theory data (PBE) for crystalline Cs2PtC4N4Cl2 at its relaxed geometry.

* E_tot: -6.524 eV per atom

Cell: 7.422 9.642 9.825 Å, 93.72 112.19 67.36°
Atoms (fractional coordinates):
C1 0.887 0.222 0.025
C2 0.925 0.959 0.165
C3 0.218 0.541 0.335
C4 0.584 0.278 0.475
C5 0.416 0.722 0.525
C6 0.782 0.458 0.665
C7 0.075 0.041 0.835
C8 0.113 0.778 0.975
Cl1 0.339 0.974 0.172
Cl2 0.642 0.526 0.328
Cl3 0.358 0.474 0.672
Cl4 0.661 0.026 0.828
Cs1 0.364 0.303 0.039
Cs2 0.128 0.197 0.461
Cs3 0.872 0.803 0.539
Cs4 0.636 0.697 0.961
N1 0.819 0.350 0.041
N2 0.054 0.564 0.239
N3 0.879 0.936 0.261
N4 0.628 0.150 0.459
N5 0.372 0.850 0.541
N6 0.121 0.064 0.739
N7 0.946 0.436 0.761
N8 0.181 0.650 0.959
Pt1 0.000 0.000 0.000
Pt2 0.500 0.500 0.500

=====

No. 14
Density functional theory data (PBE) for crystalline HoTlZnS3 at its relaxed geometry.

* E_tot: -4.642 eV per atom
* polymorph energy (0 for the lowest one): 0.016 eV per atom

Cell: 14.481 3.965 10.690 Å, 90.00 90.00 90.00°
Atoms (fractional coordinates):
Ho1 0.477 0.250 0.155
Ho2 0.977 0.250 0.345
Ho3 0.023 0.750 0.655
Ho4 0.523 0.750 0.845
S1 0.593 0.750 0.076
S2 0.075 0.250 0.114
S3 0.367 0.750 0.249
S4 0.867 0.750 0.251
S5 0.575 0.250 0.386
S6 0.093 0.750 0.424
S7 0.907 0.250 0.576
S8 0.425 0.750 0.614
S9 0.133 0.250 0.749
S10 0.633 0.250 0.751
S11 0.925 0.750 0.886
S12 0.407 0.250 0.924
Tl1 0.757 0.250 0.040
Tl2 0.257 0.250 0.460
Tl3 0.743 0.750 0.540
Tl4 0.243 0.750 0.960
Zn1 0.982 0.750 0.098
Zn2 0.482 0.750 0.402
Zn3 0.518 0.250 0.598
Zn4 0.018 0.250 0.902

=====

No. 15
Density functional theory data (PBE) for crystalline LaY2Zn4Si4 at its relaxed geometry.

* E_tot: -4.593 eV per atom

Cell: 12.703 12.703 12.703 Å, 161.36 161.26 26.55°
Atoms (fractional coordinates):
La1 0.000 0.000 0.000
Si1 0.451 0.451 0.000
Si2 0.549 0.549 0.000
Si3 0.809 0.309 0.500
Si4 0.191 0.691 0.500
Y1 0.645 0.145 0.500
Y2 0.355 0.855 0.500
Zn1 0.250 0.250 0.000
Zn2 0.750 0.750 0.000
Zn3 0.904 0.404 0.500
Zn4 0.096 0.596 0.500

=====

No. 16
Density functional theory data (PBE) for crystalline LiAlPt at its relaxed geometry.

* E_tot: -4.629 eV per atom
* polymorph energy (0 for the lowest one): 0.119 eV per atom

Cell: 4.145 4.145 5.415 Å, 90.00 90.00 120.00°
Atoms (fractional coordinates):
Al1 0.333 0.667 0.250
Al2 0.667 0.333 0.750
Li1 0.667 0.333 0.250
Li2 0.333 0.667 0.750
Pt1 0.000 0.000 0.000
Pt2 0.000 0.000 0.500

=====

No. 17
Density functional theory data (PBE) for crystalline GaCoCuAu at its relaxed geometry.

* E_tot: -4.274 eV per atom
* polymorph energy (0 for the lowest one): 0.000 eV per atom

Cell: 4.272 4.272 4.272 Å, 60.00 60.00 60.00°
Last column: magnetic moment on the atom in μB.
Atoms (fractional coordinates):
Au1 0.250 0.250 0.250  0.01
Co1 0.750 0.750 0.750  0.92
Cu1 0.500 0.500 0.500  -0.02
Ga1 0.000 0.000 0.000  -0.03

=====

No. 18
Density functional theory data (PBE) for crystalline PaCd3Cl at its relaxed geometry.

* E_tot: -2.132 eV per atom

Cell: 5.279 5.279 5.279 Å, 90.00 90.00 90.00°
Last column: magnetic moment on the atom in μB.
Atoms (fractional coordinates):
Cd1 0.500 0.500 0.000  0.00
Cd2 0.500 0.000 0.500  0.00
Cd3 0.000 0.500 0.500  0.03
Cl1 0.500 0.500 0.500  -0.01
Pa1 0.000 0.000 0.000  1.79

=====

No. 19
Density functional theory data (PBE) for crystalline RbAgS2 at its relaxed geometry.

* E_tot: -3.186 eV per atom

Cell: 7.834 7.834 7.834 Å, 29.02 29.02 29.02°
Atoms (fractional coordinates):
Ag1 0.987 0.987 0.987
Rb1 0.819 0.819 0.819
S1 0.378 0.378 0.378
S2 0.595 0.595 0.595

=====

No. 20
Density functional theory data (PBE) for crystalline Cs2CdPdCl6 at its relaxed geometry.

* E_tot: -3.158 eV per atom
* polymorph energy (0 for the lowest one): 0.000 eV per atom

Cell: 7.589 7.589 7.589 Å, 122.12 122.12 86.37°
Atoms (fractional coordinates):
Cd1 0.500 0.500 0.000
Cl1 0.774 0.226 0.000
Cl2 0.282 0.282 0.000
Cl3 0.718 0.718 0.000
Cl4 0.226 0.774 0.000
Cl5 0.226 0.226 0.452
Cl6 0.774 0.774 0.548
Cs1 0.750 0.250 0.500
Cs2 0.250 0.750 0.500
Pd1 0.000 0.000 0.000